[1]
Here is a relaxed structure of VReI2N from Alexandria. Energies are from PBE.

## Properties
Space-group type: No. 123
Formation energy (no corrections), meV per atom: 1000
Fermi-level density of states, states/eV/atom: 1.058
Uncorrected energy, eV per atom: -5.599
Polymorph energy (0 for the lowest one), kcal/mol of atoms: 0.000

Geometry as POSCAR:
```
VReI2N
1.0
5.542 0.000 0.000
0.000 5.542 0.000
0.000 0.000 3.756
V Re I N
1 1 2 1
Direct
0.000 0.000 0.000 V
0.500 0.500 0.500 Re
0.000 0.500 0.500 I
0.500 0.000 0.500 I
0.500 0.500 0.000 N
```

---

[2]
Here is a relaxed structure of KHg2As2 from Alexandria. Energies are from PBE.

## Properties
Space-group type: No. 127
Formation energy, meV per atom: 75.7
Fermi-level density of states, states/eV/atom: 0.377
Uncorrected energy, eV per atom: -2.124
Polymorph energy (0 for the lowest one), kcal/mol of atoms: 4.533

Geometry as POSCAR:
```
KHg2As2
1.0
8.561 0.000 0.000
0.000 8.561 0.000
0.000 0.000 3.377
K Hg As
2 4 4
Direct
0.000 0.000 0.000 K
0.500 0.500 0.000 K
0.129 0.371 0.000 Hg
0.371 0.871 0.000 Hg
0.629 0.129 0.000 Hg
0.871 0.629 0.000 Hg
0.173 0.673 0.500 As
0.327 0.173 0.500 As
0.673 0.827 0.500 As
0.827 0.327 0.500 As
```

---

[3]
Here is a relaxed structure of PmPa2Zn6 from Alexandria. Energies are from PBE.

## Properties
Space-group type: No. 191
Formation energy, meV per atom: -163.2
Fermi-level density of states, states/eV/atom: 1.231
Uncorrected energy, eV per atom: -3.651

Geometry as POSCAR:
```
PmPa2Zn6
1.0
7.987 0.000 0.000
-3.994 6.917 0.000
0.000 0.000 3.217
Pm Pa Zn
1 2 6
Direct
0.000 0.000 0.000 Pm
0.333 0.667 0.000 Pa
0.667 0.333 0.000 Pa
0.000 0.336 0.500 Zn
0.000 0.664 0.500 Zn
0.336 0.000 0.500 Zn
0.336 0.336 0.500 Zn
0.664 0.000 0.500 Zn
0.664 0.664 0.500 Zn
```

---

| no. | density (g/cm3) |
| --- | --- |
| 1 | 7.3 |
| 2 | 7.9 |
| 3 | 9.3 |